1.
# Na3Cr3NiS8 | Alexandria via LeMat-Bulk | PBE | relaxed
# - ΔE_f (raw) (eV/f.u.) = -11.780
data_Na3Cr3NiS8
_cell_length_a 7.032
_cell_length_b 7.031
_cell_length_c 7.745
_cell_angle_alpha 117.00
_cell_angle_beta 90.00
_cell_angle_gamma 120.00
_space_group_name_H-M_alt 'P 1'
_space_group_IT_number 1
loop_
_space_group_symop_operation_xyz
'x,y,z'
loop_
_atom_site_label
_atom_site_type_symbol
_atom_site_fract_x
_atom_site_fract_y
_atom_site_fract_z
S1 S 0.776 0.551 0.312
S2 S 0.224 0.449 0.688
S3 S 0.776 0.036 0.312
S4 S 0.740 0.964 0.688
S5 S 0.224 0.964 0.688
S6 S 0.733 0.466 0.698
S7 S 0.260 0.036 0.312
S8 S 0.267 0.534 0.302
Na1 Na 0.500 0.500 0.000
Na2 Na 0.000 0.500 0.000
Na3 Na 0.000 0.000 0.000
Cr1 Cr 0.000 0.500 0.500
Cr2 Cr 0.500 0.000 0.500
Cr3 Cr 0.500 0.500 0.500
Ni1 Ni 0.000 0.000 0.500

---

2.
# Li2HoPN4 | Alexandria via LeMat-Bulk | PBE | relaxed
# - ΔE_f (raw) (eV/f.u.) = -5.185
data_Li2HoPN4
_cell_length_a 5.187
_cell_length_b 4.839
_cell_length_c 4.839
_cell_angle_alpha 81.42
_cell_angle_beta 57.59
_cell_angle_gamma 57.59
_space_group_name_H-M_alt 'P 1'
_space_group_IT_number 1
loop_
_space_group_symop_operation_xyz
'x,y,z'
loop_
_atom_site_label
_atom_site_type_symbol
_atom_site_fract_x
_atom_site_fract_y
_atom_site_fract_z
N1 N 0.622 0.550 0.828
N2 N 0.378 0.172 0.450
N3 N 0.000 0.828 0.550
N4 N 0.000 0.450 0.172
Li1 Li 0.500 0.750 0.250
Li2 Li 0.500 0.250 0.750
Ho1 Ho 0.000 0.000 0.000
P1 P 0.000 0.500 0.500

---

3.
# Cu2Tc2P | Alexandria via LeMat-Bulk | PBE | relaxed
# - distance to the lowest polymorph of the same formula (meV/atom) = 224
data_Cu2Tc2P
_cell_length_a 7.267
_cell_length_b 7.267
_cell_length_c 7.267
_cell_angle_alpha 154.92
_cell_angle_beta 154.92
_cell_angle_gamma 35.77
_space_group_name_H-M_alt 'P 1'
_space_group_IT_number 1
loop_
_space_group_symop_operation_xyz
'x,y,z'
loop_
_atom_site_label
_atom_site_type_symbol
_atom_site_fract_x
_atom_site_fract_y
_atom_site_fract_z
P1 P 0.000 0.000 0.000
Tc1 Tc 0.409 0.409 0.000
Tc2 Tc 0.591 0.591 0.000
Cu1 Cu 0.250 0.750 0.500
Cu2 Cu 0.750 0.250 0.500

---

4.
# AcGa2CuNi | Alexandria via LeMat-Bulk | PBE | relaxed
# - final energy (eV for the cell shown) = -22.178
data_AcGa2CuNi
_cell_length_a 4.399
_cell_length_b 4.399
_cell_length_c 5.908
_cell_angle_alpha 111.86
_cell_angle_beta 111.86
_cell_angle_gamma 90.00
_space_group_name_H-M_alt 'P 1'
_space_group_IT_number 1
loop_
_space_group_symop_operation_xyz
'x,y,z'
loop_
_atom_site_label
_atom_site_type_symbol
_atom_site_fract_x
_atom_site_fract_y
_atom_site_fract_z
Ga1 Ga 0.639 0.639 0.278
Ga2 Ga 0.361 0.361 0.722
Ac1 Ac 0.000 0.000 0.000
Ni1 Ni 0.750 0.250 0.500
Cu1 Cu 0.250 0.750 0.500

---

5.
# Zr3AgC | Alexandria via LeMat-Bulk | PBE | relaxed
# - distance to the lowest polymorph of the same formula (meV/atom) = 78
data_Zr3AgC
_cell_length_a 4.556
_cell_length_b 4.556
_cell_length_c 4.556
_cell_angle_alpha 90.00
_cell_angle_beta 90.00
_cell_angle_gamma 90.00
_space_group_name_H-M_alt 'P 1'
_space_group_IT_number 1
loop_
_space_group_symop_operation_xyz
'x,y,z'
loop_
_atom_site_label
_atom_site_type_symbol
_atom_site_fract_x
_atom_site_fract_y
_atom_site_fract_z
Ag1 Ag 0.500 0.500 0.500
Zr1 Zr 0.000 0.500 0.000
Zr2 Zr 0.500 0.000 0.000
Zr3 Zr 0.000 0.000 0.500
C1 C 0.000 0.000 0.000

---

6.
# RbZnGe2Pt | Alexandria via LeMat-Bulk | PBE | relaxed
# - distance to the lowest polymorph of the same formula (meV/atom) = 717
data_RbZnGe2Pt
_cell_length_a 4.805
_cell_length_b 5.604
_cell_length_c 4.805
_cell_angle_alpha 90.00
_cell_angle_beta 90.00
_cell_angle_gamma 90.00
_space_group_name_H-M_alt 'P 1'
_space_group_IT_number 1
loop_
_space_group_symop_operation_xyz
'x,y,z'
loop_
_atom_site_label
_atom_site_type_symbol
_atom_site_fract_x
_atom_site_fract_y
_atom_site_fract_z
Ge1 Ge 0.000 0.000 0.500
Ge2 Ge 0.500 0.000 0.000
Pt1 Pt 0.500 0.500 0.500
Rb1 Rb 0.000 0.500 0.000
Zn1 Zn 0.000 0.000 0.000

---

7.
# Nd2Be3SnPt4 | Alexandria via LeMat-Bulk | PBE | relaxed
# - final energy (eV for the cell shown) = -57.057
data_Nd2Be3SnPt4
_cell_length_a 4.165
_cell_length_b 4.165
_cell_length_c 10.194
_cell_angle_alpha 90.00
_cell_angle_beta 90.00
_cell_angle_gamma 90.00
_space_group_name_H-M_alt 'P 1'
_space_group_IT_number 1
loop_
_space_group_symop_operation_xyz
'x,y,z'
loop_
_atom_site_label
_atom_site_type_symbol
_atom_site_fract_x
_atom_site_fract_y
_atom_site_fract_z
Pt1 Pt 0.500 0.000 0.659
Pt2 Pt 0.000 0.000 0.000
Pt3 Pt 0.000 0.500 0.341
Pt4 Pt 0.500 0.500 0.000
Be1 Be 0.000 0.000 0.500
Be2 Be 0.000 0.500 0.112
Be3 Be 0.500 0.000 0.888
Nd1 Nd 0.500 0.000 0.237
Nd2 Nd 0.000 0.500 0.763
Sn1 Sn 0.500 0.500 0.500

---

8.
# LiAsPb | Alexandria via LeMat-Bulk | PBE | relaxed
# - distance to the lowest polymorph of the same formula (meV/atom) = 66
data_LiAsPb
_cell_length_a 4.572
_cell_length_b 4.572
_cell_length_c 4.572
_cell_angle_alpha 60.00
_cell_angle_beta 60.00
_cell_angle_gamma 60.00
_space_group_name_H-M_alt 'P 1'
_space_group_IT_number 1
loop_
_space_group_symop_operation_xyz
'x,y,z'
loop_
_atom_site_label
_atom_site_type_symbol
_atom_site_fract_x
_atom_site_fract_y
_atom_site_fract_z
Li1 Li 0.750 0.750 0.750
As1 As 0.500 0.500 0.500
Pb1 Pb 0.000 0.000 0.000